1.
Ca2IrF2: optimized geometry, PBE-GGA.

## Properties
For the offset from the most stable computed form, the calculation gives 0.364 eV per atom. The calculated total energy is -50.9 eV per cell.

Cell lengths 7.4225, 7.4225, 2.9141 Å; angles 90.00, 90.00, 90.00 degrees
Atoms (fractional coordinates):
Ca  0.1622  0.3378  0.0000
Ca  0.3378  0.8378  0.0000
Ca  0.6622  0.1622  0.0000
Ca  0.8378  0.6622  0.0000
Ir  0.0000  0.0000  0.0000
Ir  0.5000  0.5000  0.0000
F  0.1146  0.6146  0.5000
F  0.3854  0.1146  0.5000
F  0.6146  0.8854  0.5000
F  0.8854  0.3854  0.5000

2.
CaIrF: optimized geometry, PBE-GGA.

## Properties
For the offset from the most stable computed form, the calculation gives 0.032 eV per atom. The calculated total energy is -36.9 eV per cell.

Cell lengths 3.7027, 3.7027, 7.7036 Å; angles 90.00, 90.00, 90.00 degrees
Atoms (fractional coordinates):
Ca  0.2500  0.2500  0.1805
Ca  0.7500  0.7500  0.8195
Ir  0.2500  0.7500  0.5000
Ir  0.7500  0.2500  0.5000
F  0.2500  0.7500  0.0000
F  0.7500  0.2500  0.0000

3.
Ca2IrF2: optimized geometry, PBE-GGA.

## Properties
For the offset from the most stable computed form, the calculation gives 0.427 eV per atom. The calculated total energy is -25.2 eV per cell.

Cell lengths 5.2956, 5.2956, 5.2956 Å; angles 126.97, 126.97, 78.30 degrees
Atoms (fractional coordinates):
Ca  0.2500  0.7500  0.5000
Ca  0.7500  0.2500  0.5000
Ir  0.0000  0.0000  0.0000
F  0.3146  0.3146  0.0000
F  0.6854  0.6854  0.0000

4.
CaIrF: optimized geometry, PBE-GGA.

## Properties
For the offset from the most stable computed form, the calculation gives 0.000 eV per atom. The calculated total energy is -37.1 eV per cell.

Cell lengths 3.9400, 4.1528, 8.1047 Å; angles 76.58, 75.98, 63.80 degrees
Atoms (fractional coordinates):
Ca  0.1036  0.0840  0.2042
Ca  0.8964  0.9160  0.7958
Ir  0.3343  0.3166  0.4913
Ir  0.6657  0.6834  0.5087
F  0.2019  0.2055  0.9060
F  0.7981  0.7945  0.0940

5.
CaIrF: optimized geometry, PBE-GGA.

## Properties
For the offset from the most stable computed form, the calculation gives 0.082 eV per atom. The calculated total energy is -36.6 eV per cell.

Cell lengths 3.5794, 8.1166, 3.5964 Å; angles 90.00, 90.00, 90.00 degrees
Atoms (fractional coordinates):
Ca  0.0000  0.1940  0.0000
Ca  0.5000  0.8060  0.5000
Ir  0.0000  0.4980  0.4933
Ir  0.5000  0.5020  0.9933
F  0.0000  0.9080  0.8877
F  0.5000  0.0920  0.3877

6.
Ca2IrF2: optimized geometry, PBE-GGA.

## Properties
For the offset from the most stable computed form, the calculation gives 0.298 eV per atom. The calculated total energy is -51.6 eV per cell.

Cell lengths 7.3448, 7.3448, 2.8817 Å; angles 90.00, 90.00, 90.00 degrees
Atoms (fractional coordinates):
Ca  0.1759  0.3241  0.0000
Ca  0.3241  0.8241  0.0000
Ca  0.6759  0.1759  0.0000
Ca  0.8241  0.6759  0.0000
Ir  0.0000  0.0000  0.5000
Ir  0.5000  0.5000  0.5000
F  0.1156  0.6156  0.5000
F  0.3844  0.1156  0.5000
F  0.6156  0.8844  0.5000
F  0.8844  0.3844  0.5000